Entry 1:
TePPbI2 (PBE, relaxed); relative energy among the computed polymorphs = 0.000 eV/atom; uncorrected energy = -0.1077 Ha/atom; volume = 34.92 Å³ per atom
1.0
-2.499 0.694 4.834
2.157 -4.715 1.791
4.634 2.874 1.983
Te Pb I P
1 1 2 1
Direct
0.000 0.000 0.500
0.500 0.500 0.500
0.000 0.500 0.000
0.500 0.000 0.000
0.000 0.000 0.000

Entry 2:
Tl2HgOs (PBE, relaxed); relative energy among the computed polymorphs = 0.308 eV/atom; uncorrected energy = -0.1162 Ha/atom; volume = 21.10 Å³ per atom
1.0
-3.849 -1.947 -3.447
-1.653 -5.130 1.199
0.585 4.654 2.912
Hg Tl Os
1 2 1
Direct
0.500 0.500 0.000
0.250 0.750 0.500
0.000 0.000 0.000
0.750 0.250 0.500

Entry 3:
AlPIr2 (PBE, relaxed); relative energy among the computed polymorphs = 0.000 eV/atom; uncorrected energy = -0.2625 Ha/atom; volume = 14.06 Å³ per atom
1.0
4.599 -0.036 0.007
3.609 2.850 0.007
0.967 0.332 4.250
Ir Al P
2 1 1
Direct
0.762 0.762 0.679
0.990 0.990 0.097
0.254 0.254 0.193
0.494 0.494 0.531

Entry 4:
LaLuGePd (PBE, relaxed); uncorrected energy = -0.2048 Ha/atom; volume = 23.49 Å³ per atom
1.0
5.103 0.000 0.000
2.551 4.419 0.000
2.551 1.473 4.166
Lu La Pd Ge
1 1 1 1
Direct
0.000 0.000 0.000
0.500 0.500 0.500
0.750 0.750 0.750
0.250 0.250 0.250

> Among the records above, which one has the highest uncorrected energy?

TePPbI2